# 1
## FeSbRu (GGA-PBEsol)

Data for a relaxed FeSbRu crystal. Values from VASP.

The structure in Quantum ESPRESSO input format:
```
&SYSTEM
  ibrav = 0, nat = 3, ntyp = 3
/
ATOMIC_SPECIES
Fe 55.84 Fe.upf
Ru 101.07 Ru.upf
Sb 121.76 Sb.upf
ATOMIC_POSITIONS angstrom
Fe 0.029 0.010 0.013
Ru 0.520 -0.571 2.617
Sb 2.353 0.770 1.074
CELL_PARAMETERS angstrom
-1.485 1.260 2.352
0.203 -3.162 1.823
4.184 2.110 -0.471
```

Values from the calculation:
N(E_F) (states/eV/cell): 2.25
Raw formation energy (eV per atom): 0.23
Symmetry: Imm2, No. 44



# 2
## CaCrCl2 (GGA-PBEsol)

Data for a relaxed CaCrCl2 crystal. Values from VASP.

The structure in Quantum ESPRESSO input format:
```
&SYSTEM
  ibrav = 0, nat = 8, ntyp = 3
/
ATOMIC_SPECIES
Cr 52.00 Cr.upf
Ca 40.08 Ca.upf
Cl 35.45 Cl.upf
ATOMIC_POSITIONS angstrom
Cr 0.000 2.836 3.199
Cr 0.000 0.000 0.000
Ca 2.836 0.000 3.199
Ca 2.836 2.836 0.000
Cl 1.207 4.254 1.599
Cl 4.466 1.418 1.599
Cl -1.418 -1.629 4.798
Cl 1.418 1.629 4.798
CELL_PARAMETERS angstrom
5.672 0.000 0.000
0.000 5.672 0.000
-2.836 -2.836 6.397
```

Values from the calculation:
N(E_F) (states/eV/cell): 4.50
Raw formation energy (eV per atom): -0.68
Polymorph energy (0 for the lowest one) (meV/atom): 36
Symmetry: I-42d, No. 122



# 3
## Te3Pd4Br4 (GGA-PBEsol)

Data for a relaxed Te3Pd4Br4 crystal. Values from VASP.

The structure in Quantum ESPRESSO input format:
```
&SYSTEM
  ibrav = 0, nat = 22, ntyp = 3
/
ATOMIC_SPECIES
Te 127.60 Te.upf
Pd 106.42 Pd.upf
Br 79.90 Br.upf
ATOMIC_POSITIONS angstrom
Te 10.773 -5.825 7.775
Te 7.713 -4.658 7.188
Te 4.350 -3.508 1.419
Te 9.102 -6.693 5.067
Te 2.961 -1.473 3.540
Te 1.290 -2.341 0.832
Pd 1.468 -4.780 5.745
Pd 2.979 -6.962 3.296
Pd 9.084 -1.204 5.311
Pd 10.595 -3.386 2.862
Pd 3.545 -1.059 1.018
Pd 8.085 -4.406 4.705
Pd 8.519 -7.107 7.589
Pd 3.978 -3.760 3.902
Br 5.211 -5.957 3.904
Br 6.852 -2.209 4.703
Br 0.319 -2.554 5.782
Br 3.723 -3.812 6.450
Br 6.222 -8.187 7.283
Br 5.841 0.021 1.324
Br 11.744 -5.612 2.825
Br 8.340 -4.354 2.157
CELL_PARAMETERS angstrom
-0.344 -2.265 8.073
4.009 -7.227 -1.484
8.399 1.326 2.018
```

Values from the calculation:
Raw formation energy (eV per atom): -0.35
Symmetry: P-1, No. 2



# 4
## K2LaRu (GGA-PBEsol)

Data for a relaxed K2LaRu crystal. Values from VASP.

The structure in Quantum ESPRESSO input format:
```
&SYSTEM
  ibrav = 0, nat = 4, ntyp = 3
/
ATOMIC_SPECIES
K 39.10 K.upf
La 138.91 La.upf
Ru 101.07 Ru.upf
ATOMIC_POSITIONS angstrom
K 2.679 1.547 1.094
K 8.038 4.641 3.281
La 0.000 0.000 0.000
Ru 5.359 3.094 2.188
CELL_PARAMETERS angstrom
5.359 0.000 0.000
2.679 4.641 0.000
2.679 1.547 4.375
```

Values from the calculation:
N(E_F) (states/eV/cell): 2.45
Polymorph energy (0 for the lowest one) (meV/atom): 544
Symmetry: Fm-3m, No. 225
Formation energy (kJ/mol of atoms): 128.2



# 5
## BaNiHg3 (GGA-PBEsol)

Data for a relaxed BaNiHg3 crystal. Values from VASP.

The structure in Quantum ESPRESSO input format:
```
&SYSTEM
  ibrav = 0, nat = 5, ntyp = 3
/
ATOMIC_SPECIES
Ni 58.69 Ni.upf
Hg 200.59 Hg.upf
Ba 137.33 Ba.upf
ATOMIC_POSITIONS angstrom
Ni 0.000 0.000 0.000
Hg 0.669 -1.301 2.044
Hg 1.739 1.735 0.535
Hg -1.687 1.271 1.362
Ba 0.721 1.705 3.940
CELL_PARAMETERS angstrom
-3.374 2.542 2.724
1.339 -2.602 4.087
3.477 3.469 1.069
```

Values from the calculation:
N(E_F) (states/eV/cell): 2.54
Symmetry: Pm-3m, No. 221
Formation energy (kJ/mol of atoms): -29.4



# 6
## Si3Bi2O9 (GGA-PBEsol)

Data for a relaxed Si3Bi2O9 crystal. Values from VASP.

The structure in Quantum ESPRESSO input format:
```
&SYSTEM
  ibrav = 0, nat = 28, ntyp = 3
/
ATOMIC_SPECIES
Si 28.09 Si.upf
Bi 208.98 Bi.upf
O 16.00 O.upf
ATOMIC_POSITIONS angstrom
Si 2.226 4.582 7.210
Si -0.534 1.652 7.210
Si 1.164 1.289 2.403
Si 5.081 0.363 2.403
Si -1.691 5.508 7.210
Si 3.924 4.219 2.403
Bi 3.390 1.957 9.340
Bi 3.390 1.957 5.080
Bi 0.000 3.914 4.534
Bi 0.000 3.914 0.273
O 2.362 4.721 2.403
O -0.935 2.444 8.569
O 1.740 3.839 5.851
O 5.269 0.315 7.210
O -1.879 5.556 2.403
O 4.195 0.412 1.044
O 4.195 0.412 3.763
O 3.872 4.406 7.210
O 1.028 1.150 7.210
O -0.805 5.459 8.569
O 4.325 3.427 1.044
O -0.805 5.459 5.851
O 1.649 2.032 3.763
O 1.649 2.032 1.044
O -0.482 1.465 2.403
O 4.325 3.427 3.763
O 1.740 3.839 8.569
O -0.935 2.444 5.851
CELL_PARAMETERS angstrom
6.779 0.000 0.000
-3.390 5.871 0.000
0.000 0.000 9.614
```

Values from the calculation:
N(E_F) (states/eV/cell): 0.00
Raw formation energy (eV per atom): -2.28
Symmetry: P6_3/m, No. 176



# 7
## TiBWN2 (GGA-PBEsol)

Data for a relaxed TiBWN2 crystal. Values from VASP.

The structure in Quantum ESPRESSO input format:
```
&SYSTEM
  ibrav = 0, nat = 5, ntyp = 4
/
ATOMIC_SPECIES
B 10.81 B.upf
N 14.01 N.upf
W 183.84 W.upf
Ti 47.87 Ti.upf
ATOMIC_POSITIONS angstrom
B -1.293 -0.750 1.369
N -1.043 -0.709 -1.373
N -0.987 1.580 -0.066
W -3.323 0.121 -0.070
Ti 0.000 0.000 0.000
CELL_PARAMETERS angstrom
-1.974 3.160 -0.133
-2.085 -1.418 -2.746
-2.586 -1.500 2.738
```

Values from the calculation:
N(E_F) (states/eV/cell): 2.98
Raw formation energy (eV per atom): 1.11
Symmetry: P4/mmm, No. 123



# 8
## LiPCl2O (GGA-PBEsol)

Data for a relaxed LiPCl2O crystal. Values from VASP.

The structure in Quantum ESPRESSO input format:
```
&SYSTEM
  ibrav = 0, nat = 5, ntyp = 4
/
ATOMIC_SPECIES
P 30.97 P.upf
Li 6.94 Li.upf
O 16.00 O.upf
Cl 35.45 Cl.upf
ATOMIC_POSITIONS angstrom
P -0.230 -1.335 0.950
Li 3.591 -1.919 1.054
O 0.000 0.000 0.000
Cl 2.036 0.812 1.634
Cl 1.785 -1.396 -1.530
CELL_PARAMETERS angstrom
-0.460 -2.670 1.899
3.570 -2.792 -3.060
4.072 1.624 3.268
```

Values from the calculation:
N(E_F) (states/eV/cell): 3.76
Raw formation energy (eV per atom): -0.37
Symmetry: P4/mmm, No. 123



# 9
## La2AlAs (GGA-PBEsol)

Data for a relaxed La2AlAs crystal. Values from VASP.

The structure in Quantum ESPRESSO input format:
```
&SYSTEM
  ibrav = 0, nat = 4, ntyp = 3
/
ATOMIC_SPECIES
As 74.92 As.upf
Al 26.98 Al.upf
La 138.91 La.upf
ATOMIC_POSITIONS angstrom
As -3.220 -0.002 1.857
Al -5.162 1.490 1.720
La -6.171 4.072 0.125
La -8.058 1.867 3.071
CELL_PARAMETERS angstrom
-2.061 3.484 1.287
-3.774 0.979 -1.685
-5.348 -2.488 5.178
```

Values from the calculation:
N(E_F) (states/eV/cell): 4.53
Polymorph energy (0 for the lowest one) (meV/atom): 201
Symmetry: R3m, No. 160
Formation energy (kJ/mol of atoms): -47.7



# 10
## FeNi3Cl (GGA-PBEsol)

Data for a relaxed FeNi3Cl crystal. Values from VASP.

The structure in Quantum ESPRESSO input format:
```
&SYSTEM
  ibrav = 0, nat = 5, ntyp = 3
/
ATOMIC_SPECIES
Ni 58.69 Ni.upf
Fe 55.84 Fe.upf
Cl 35.45 Cl.upf
ATOMIC_POSITIONS angstrom
Ni 1.430 -1.421 0.107
Ni 1.424 1.431 -0.015
Ni -0.065 0.086 2.016
Fe 2.788 0.096 2.108
Cl 0.000 0.000 0.000
CELL_PARAMETERS angstrom
-0.131 0.172 4.032
2.859 -2.843 0.214
2.848 2.862 -0.030
```

Values from the calculation:
N(E_F) (states/eV/cell): 4.85
Raw formation energy (eV per atom): 0.79
Symmetry: Pm-3m, No. 221



# 11
## RbIn3Mo (GGA-PBEsol)

Data for a relaxed RbIn3Mo crystal. Values from VASP.

The structure in Quantum ESPRESSO input format:
```
&SYSTEM
  ibrav = 0, nat = 5, ntyp = 3
/
ATOMIC_SPECIES
Mo 95.94 Mo.upf
Rb 85.47 Rb.upf
In 114.82 In.upf
ATOMIC_POSITIONS angstrom
Mo 2.928 2.928 2.928
Rb 0.000 0.000 0.000
In 0.000 2.928 0.000
In 0.000 0.000 2.928
In 2.928 0.000 0.000
CELL_PARAMETERS angstrom
5.856 0.000 0.000
0.000 5.856 0.000
0.000 0.000 5.856
```

Values from the calculation:
N(E_F) (states/eV/cell): 5.62
Polymorph energy (0 for the lowest one) (meV/atom): 1797
Symmetry: Pm-3m, No. 221
Formation energy (kJ/mol of atoms): 195.9



# 12
## BaSr2Mg (GGA-PBEsol)

Data for a relaxed BaSr2Mg crystal. Values from VASP.

The structure in Quantum ESPRESSO input format:
```
&SYSTEM
  ibrav = 0, nat = 4, ntyp = 3
/
ATOMIC_SPECIES
Sr 87.62 Sr.upf
Mg 24.30 Mg.upf
Ba 137.33 Ba.upf
ATOMIC_POSITIONS angstrom
Sr 0.000 0.000 0.000
Sr -1.434 3.112 11.040
Mg -0.478 1.037 3.680
Ba -0.956 2.075 7.360
CELL_PARAMETERS angstrom
-0.776 4.872 3.905
-3.687 -0.584 5.065
2.552 -0.139 5.750
```

Values from the calculation:
N(E_F) (states/eV/cell): 4.49
Symmetry: F-43m, No. 216
Formation energy (kJ/mol of atoms): 3.6